No. 1
ZrIn2W2: optimized geometry, PBE-GGA.

Geometry as POSCAR:
```
ZrIn2W2
1.0
3.887 0.000 0.000
0.000 3.887 0.000
1.943 1.943 6.755
Zr W In
1 2 2
direct
0.000 0.000 0.000 Zr
0.750 0.250 0.500 W
0.250 0.750 0.500 W
0.401 0.401 0.199 In
0.599 0.599 0.801 In
```

Mass density (g/cm³): 11.20
E_form (meV per atom): 472
Symmetry: I4/mmm
M_tot (μB/cell): 0.000


No. 2
ZrInW: optimized geometry, PBE-GGA.

Geometry as POSCAR:
```
ZrInW
1.0
-2.495 3.942 2.689
0.349 0.762 5.319
3.056 -0.859 -4.349
In W Zr
1 1 1
direct
0.994 0.994 0.000 In
0.327 0.327 0.000 W
0.679 0.679 0.000 Zr
```

Mass density (g/cm³): 10.82
E_form (meV per atom): 185
Symmetry: I4mm
Relative energy among the computed polymorphs (meV per atom): 0.0
M_tot (μB/cell): 0.000


No. 3
Zr2In2W: optimized geometry, PBE-GGA.

Geometry as POSCAR:
```
Zr2In2W
1.0
-0.573 3.836 0.777
-0.879 -0.891 3.753
6.052 2.132 4.009
Zr W In
2 1 2
direct
0.750 0.250 0.500 Zr
0.250 0.750 0.500 Zr
0.000 0.000 0.000 W
0.407 0.407 0.186 In
0.593 0.593 0.814 In
```

Mass density (g/cm³): 9.00
E_form (meV per atom): 711
Symmetry: I4/mmm
Relative energy among the computed polymorphs (meV per atom): 551.9
M_tot (μB/cell): 0.000


No. 4
Zr2In2W: optimized geometry, PBE-GGA.

Geometry as POSCAR:
```
Zr2In2W
1.0
-3.386 5.920 2.821
-3.413 -4.302 4.931
2.956 0.506 2.487
Zr W In
4 2 4
direct
0.175 0.675 0.500 Zr
0.675 0.825 0.500 Zr
0.825 0.325 0.500 Zr
0.325 0.175 0.500 Zr
0.000 0.000 0.000 W
0.500 0.500 0.000 W
0.368 0.868 0.000 In
0.868 0.632 0.000 In
0.632 0.132 0.000 In
0.132 0.368 0.000 In
```

Mass density (g/cm³): 9.33
E_form (meV per atom): 159
Symmetry: P4/mbm
Relative energy among the computed polymorphs (meV per atom): 0.0
M_tot (μB/cell): 0.000


No. 5
ZrInW3: optimized geometry, PBE-GGA.

Geometry as POSCAR:
```
ZrInW3
1.0
4.862 0.000 0.000
0.000 4.862 0.000
0.000 0.000 4.862
Zr W In
1 3 1
direct
0.500 0.500 0.500 Zr
0.000 0.500 0.000 W
0.000 0.000 0.500 W
0.500 0.000 0.000 W
0.000 0.000 0.000 In
```

Mass density (g/cm³): 10.95
E_form (meV per atom): 2438
Symmetry: Pm-3m
Relative energy among the computed polymorphs (meV per atom): 56.5
M_tot (μB/cell): 0.004


No. 6
ZrInW3: optimized geometry, PBE-GGA.

Geometry as POSCAR:
```
ZrInW3
1.0
4.845 0.000 0.000
0.000 4.845 0.000
0.000 0.000 4.845
Zr W In
1 3 1
direct
0.000 0.000 0.000 Zr
0.000 0.500 0.000 W
0.000 0.000 0.500 W
0.500 0.000 0.000 W
0.500 0.500 0.500 In
```

Mass density (g/cm³): 11.06
E_form (meV per atom): 2382
Symmetry: Pm-3m
Relative energy among the computed polymorphs (meV per atom): 0.0
M_tot (μB/cell): 0.000


No. 7
ZrInW: optimized geometry, PBE-GGA.

Geometry as POSCAR:
```
ZrInW
1.0
-4.777 -0.771 0.734
3.302 -2.962 2.066
0.080 1.691 2.296
In W Zr
1 1 1
direct
0.000 0.000 0.039 In
0.333 0.667 0.329 W
0.667 0.333 0.632 Zr
```

Mass density (g/cm³): 10.94
E_form (meV per atom): 259
Symmetry: P3m1
Relative energy among the computed polymorphs (meV per atom): 73.6
M_tot (μB/cell): 0.000


No. 8
ZrIn3W: optimized geometry, PBE-GGA.

Geometry as POSCAR:
```
ZrIn3W
1.0
-1.733 0.688 4.828
-1.517 -4.945 0.161
4.635 -1.361 1.858
Zr W In
1 1 3
direct
0.500 0.500 0.500 Zr
0.000 0.000 0.000 W
0.000 0.500 0.000 In
0.000 0.000 0.500 In
0.500 0.000 0.000 In
```

Mass density (g/cm³): 7.42
E_form (meV per atom): 1007
Symmetry: Pm-3m
Relative energy among the computed polymorphs (meV per atom): 0.0
M_tot (μB/cell): 0.001


Q: What is the M_tot in the first record?
A: 0.000 μB/cell


Q: Look up the M_tot of the third one.
A: 0.000 μB/cell